Record 1
Density functional theory data (GGA-PBE) for an optimized crystal structure of Li4Sc3GaS8.

Cell lengths 7.337, 7.418, 7.338 Å; angles 119.64, 120.00, 90.00 degrees
Element x y z (fractional)
1 S 0.253 0.260 0.506
2 S 0.758 0.262 0.516
3 Sc 0.500 0.500 0.000
4 Sc 0.500 0.500 0.500
5 S 0.747 0.740 0.494
6 S 0.754 0.738 0.996
7 Li 0.500 0.000 0.500
8 Li 0.000 0.000 0.500
9 Li 0.500 0.000 0.000
10 Li 0.000 0.000 0.000
11 S 0.246 0.262 0.004
12 S 0.242 0.738 0.996
13 S 0.242 0.738 0.484
14 S 0.758 0.262 0.004
15 Sc 0.000 0.500 0.500
16 Ga 0.000 0.500 0.000

Calculated volume (A^3/atom): 17.7
Calculated total energy (eV per atom): -5.4437
Spin magnetization (μB per formula unit): 0.00
Uncorrected formation energy (eV/atom): -1.525

***

Record 2
Density functional theory data (GGA-PBE) for an optimized crystal structure of LiSc2GaS.

Cell lengths 4.831, 4.831, 4.991 Å; angles 90.00, 90.00, 90.00 degrees
Element x y z (fractional)
1 Li 0.500 0.500 0.500
2 Sc 0.000 0.500 0.000
3 Ga 0.000 0.000 0.500
4 S 0.000 0.000 0.000
5 Sc 0.500 0.000 0.000

DOS at the Fermi energy (states/eV per atom): 0.97
Calculated volume (A^3/atom): 23.3
Calculated total energy (eV per atom): -4.6653
Spin magnetization (μB per formula unit): 0.00
Uncorrected formation energy (eV/atom): -0.319

***

Record 3
Density functional theory data (GGA-PBE) for an optimized crystal structure of LiGa2SiS6.

Cell lengths 6.806, 8.784, 8.784 Å; angles 90.57, 72.16, 72.16 degrees
Each line ends with the local moment (μB).
Element x y z (fractional)
1 Ga 0.374 0.767 0.597  0.00
2 S 0.900 0.324 0.441  0.28
3 S 0.833 0.044 0.182  0.03
4 Si 0.250 0.175 0.825  0.00
5 S 0.167 0.956 0.818  0.03
6 S 0.400 0.441 0.324  0.28
7 S 0.100 0.676 0.559  0.28
8 S 0.333 0.182 0.044  0.03
9 Ga 0.126 0.403 0.233  0.00
10 Ga 0.874 0.597 0.767  0.00
11 S 0.561 0.140 0.651  0.00
12 S 0.439 0.860 0.349  0.00
13 S 0.939 0.349 0.860  0.00
14 Li 0.250 0.895 0.105  0.00
15 Ga 0.626 0.233 0.403  0.00
16 S 0.061 0.651 0.140  0.00
17 Li 0.750 0.105 0.895  0.00
18 S 0.600 0.559 0.676  0.28
19 S 0.667 0.818 0.956  0.03
20 Si 0.750 0.825 0.175  0.00

Calculated volume (A^3/atom): 23.6
Calculated total energy (eV per atom): -4.4090
Spin magnetization (μB per formula unit): 1.00
Uncorrected formation energy (eV/atom): -0.593

***

Record 4
Density functional theory data (GGA-PBE) for an optimized crystal structure of LiGaSi2S6.

Cell lengths 6.421, 8.517, 8.517 Å; angles 87.40, 74.48, 74.48 degrees
Element x y z (fractional)
1 S 0.523 0.576 0.689
2 S 0.646 0.812 0.963
3 Si 0.789 0.621 0.780
4 S 0.023 0.689 0.576
5 S 0.977 0.311 0.424
6 Ga 0.750 0.790 0.210
7 Ga 0.250 0.210 0.790
8 S 0.354 0.188 0.037
9 Li 0.750 0.120 0.880
10 S 0.854 0.037 0.188
11 Si 0.211 0.379 0.220
12 Si 0.711 0.220 0.379
13 S 0.397 0.873 0.384
14 S 0.146 0.963 0.812
15 S 0.897 0.384 0.873
16 S 0.603 0.127 0.616
17 Li 0.250 0.880 0.120
18 S 0.103 0.616 0.127
19 Si 0.289 0.780 0.621
20 S 0.477 0.424 0.311

DOS at the Fermi energy (states/eV per atom): 0.00
Calculated volume (A^3/atom): 21.6
Calculated total energy (eV per atom): -4.7301
Spin magnetization (μB per formula unit): 0.00
Uncorrected formation energy (eV/atom): -0.675

***

Record 5
Density functional theory data (GGA-PBE) for an optimized crystal structure of Li2GaSiS4.

Cell lengths 5.615, 5.614, 6.694 Å; angles 114.75, 114.62, 90.00 degrees
Element x y z (fractional)
1 Ga 0.986 0.487 0.972
2 Si 0.736 0.736 0.472
3 S 0.411 0.855 0.245
4 Li 0.486 0.986 0.972
5 S 0.617 0.636 0.698
6 S 0.081 0.062 0.699
7 Li 0.236 0.236 0.472
8 S 0.835 0.390 0.244

DOS at the Fermi energy (states/eV per atom): 0.65
Calculated volume (A^3/atom): 21.3
Calculated total energy (eV per atom): -4.4250
Spin magnetization (μB per formula unit): 0.00
Uncorrected formation energy (eV/atom): -0.827

***

Record 6
Density functional theory data (GGA-PBE) for an optimized crystal structure of Li2SmGaS4.

Cell lengths 7.601, 7.601, 7.895 Å; angles 121.29, 121.29, 89.74 degrees
Element x y z (fractional)
1 Li 0.500 0.500 0.000
2 Sm 0.000 0.500 0.000
3 S 0.740 0.759 0.537
4 Ga 0.500 0.500 0.500
5 Li 0.500 0.000 0.500
6 S 0.259 0.240 0.037
7 S 0.745 0.233 0.489
8 S 0.733 0.245 0.989
9 S 0.260 0.241 0.463
10 S 0.741 0.760 0.963
11 S 0.267 0.755 0.011
12 Ga 0.000 0.000 0.000
13 Li 0.000 0.000 0.500
14 Sm 0.000 0.500 0.500
15 S 0.255 0.767 0.511
16 Li 0.500 0.000 0.000

Calculated volume (A^3/atom): 19.4
Calculated total energy (eV per atom): -4.7812
Spin magnetization (μB per formula unit): 0.00
Uncorrected formation energy (eV/atom): -1.271